[1]
Material: CaEuMgNbO6
Method: DFT, GGA-PBE
State: optimized geometry

The structure in extended XYZ format:
```
10
Lattice="0.0000 3.9906 3.9906 3.9906 0.0000 3.9906 3.9906 3.9906 0.0000" Properties=species:S:1:pos:R:3 pbc="T T T"
Ca 0.0000 0.0000 0.0000
Eu 3.9906 3.9906 3.9906
Mg 5.9860 5.9860 5.9860
Nb 1.9953 1.9953 1.9953
O 1.9953 1.9953 0.0087
O 1.9953 0.0087 1.9953
O 3.9819 1.9953 1.9953
O 0.0087 1.9953 1.9953
O 1.9953 3.9819 1.9953
O 1.9953 1.9953 3.9819
```

The value obtained for the formation energy without anion corrections is -26.68 eV/f.u.


[2]
Material: CaZrScGa2
Method: DFT, GGA-PBE
State: optimized geometry

The structure in extended XYZ format:
```
5
Lattice="5.3092 0.0000 0.0000 0.0000 5.3092 0.0000 0.0000 0.0000 4.9479" Properties=species:S:1:pos:R:3 pbc="T T T"
Ca 0.0000 0.0000 0.0000
Zr 2.6546 2.6546 2.4740
Sc 2.6546 2.6546 0.0000
Ga 0.0000 2.6546 2.4740
Ga 2.6546 0.0000 2.4740
```

The formation energy is 0.2510 eV per atom.


[3]
Material: SmCd6
Method: DFT, GGA-PBE
State: optimized geometry

The structure in extended XYZ format:
```
28
Lattice="9.2703 0.0000 0.0000 0.0000 6.0644 0.0000 0.0000 0.0000 11.7566" Properties=species:S:1:pos:R:3 pbc="T T T"
Sm 2.2382 1.5161 0.6894
Sm 2.3969 4.5483 6.5678
Sm 6.8734 1.5161 5.1889
Sm 7.0321 4.5483 11.0672
Cd 0.6009 4.5483 0.9863
Cd 0.6170 0.0945 3.6431
Cd 0.6170 2.9378 3.6431
Cd 0.9640 1.5161 6.1713
Cd 1.2445 4.5483 9.9677
Cd 1.7472 1.5161 8.9986
Cd 2.8880 4.5483 3.1202
Cd 3.3907 1.5161 4.0894
Cd 3.6712 4.5483 0.2930
Cd 4.0182 3.1267 9.5215
Cd 4.0182 5.9700 9.5215
Cd 4.0342 1.5161 6.8646
Cd 5.2361 4.5483 4.8920
Cd 5.2521 0.0945 2.2352
Cd 5.2521 2.9378 2.2352
Cd 5.5991 1.5161 11.4637
Cd 5.8797 4.5483 7.6673
Cd 6.3824 1.5161 8.6364
Cd 7.5231 4.5483 2.7581
Cd 8.0258 1.5161 1.7889
Cd 8.3063 4.5483 5.5853
Cd 8.6533 3.1267 8.1135
Cd 8.6533 5.9700 8.1135
Cd 8.6694 1.5161 10.7704
```

The formation energy is -0.1382 eV per atom. The energy above the most stable polymorph in this dataset comes out at 0.00 eV/f.u.


[4]
Material: CaOsPt
Method: DFT, GGA-PBE
State: optimized geometry

The structure in extended XYZ format:
```
3
Lattice="-1.3891 2.1080 5.0448 1.3891 -2.1080 5.0448 1.3891 2.1080 -5.0448" Properties=species:S:1:pos:R:3 pbc="T T T"
Ca 0.0000 0.0000 0.0000
Os 0.0000 0.0000 7.1826
Pt 0.0000 0.0000 2.8813
```

The formation energy is 0.0797 eV per atom. The energy above the most stable polymorph in this dataset comes out at 0.00 eV/f.u.


[5]
Material: CsNbPt3
Method: DFT, GGA-PBE
State: optimized geometry

The structure in extended XYZ format:
```
5
Lattice="5.0860 0.0000 0.0000 0.0000 5.0860 0.0000 0.0000 0.0000 5.0860" Properties=species:S:1:pos:R:3 pbc="T T T"
Cs 0.0000 0.0000 0.0000
Nb 2.5430 2.5430 2.5430
Pt 0.0000 2.5430 2.5430
Pt 2.5430 0.0000 2.5430
Pt 2.5430 2.5430 0.0000
```

The formation energy is 0.4967 eV per atom. The energy above the most stable polymorph in this dataset comes out at 0.00 eV/f.u.


[6]
Material: CdReNi2
Method: DFT, GGA-PBE
State: optimized geometry

The structure in extended XYZ format:
```
4
Lattice="2.7201 0.0000 0.0000 0.0000 2.7201 0.0000 0.0000 0.0000 7.5767" Properties=species:S:1:pos:R:3 pbc="T T T"
Cd 0.0000 0.0000 0.0000
Re 0.0000 0.0000 3.7883
Ni 1.3600 1.3600 2.0565
Ni 1.3600 1.3600 5.5202
```

The formation energy is 0.0535 eV per atom.


[7]
Material: Tb2AlSi3
Method: DFT, GGA-PBE
State: optimized geometry

The structure in extended XYZ format:
```
12
Lattice="0.0000 4.1692 7.0827 4.0081 0.0000 7.0827 4.0081 4.1692 0.0000" Properties=species:S:1:pos:R:3 pbc="T T T"
Tb 6.0423 4.1692 7.0827
Tb 2.0040 2.0846 3.5414
Tb 6.0121 6.2539 10.6241
Tb 1.9739 4.1692 7.0827
Al 4.0081 4.1692 4.7345
Al 4.0081 4.1692 9.4309
Si 4.0081 4.1692 2.3334
Si 4.0081 2.0718 5.9004
Si 4.0081 2.0718 8.2650
Si 4.0081 6.2667 5.9004
Si 4.0081 6.2667 8.2650
Si 4.0081 4.1692 11.8320
```

The value obtained for the formation energy without anion corrections is -3.37 eV/f.u.


[8]
Material: Te3C
Method: DFT, GGA-PBE
State: optimized geometry

The structure in extended XYZ format:
```
4
Lattice="1.6084 -4.4650 0.0000 1.6084 4.4650 0.0000 0.0000 0.0000 8.7973" Properties=species:S:1:pos:R:3 pbc="T T T"
Te 0.0000 0.0000 0.0000
Te 1.6084 0.0000 2.7799
Te 1.6084 0.0000 6.0174
C 0.0000 0.0000 4.3987
```

The value obtained for the formation energy without anion corrections is 4.61 eV/f.u. The energy above the most stable polymorph in this dataset comes out at 1.39 eV/f.u.


[9]
Material: Er6Te3PbSe2
Method: DFT, GGA-PBE
State: optimized geometry

The structure in extended XYZ format:
```
12
Lattice="3.6566 -6.3198 0.0000 3.6566 6.3198 0.0000 -2.4376 0.0000 7.0602" Properties=species:S:1:pos:R:3 pbc="T T T"
Er -0.0487 2.1870 5.4580
Er 1.1202 0.0000 1.5751
Er -0.0487 -2.1870 5.4580
Er 4.9245 2.1870 1.6022
Er 3.7556 0.0000 5.4851
Er 4.9245 -2.1870 1.6022
Te -1.2188 0.0000 3.5301
Te 2.4379 2.0490 3.5301
Te 2.4379 -2.0490 3.5301
Pb 3.6566 0.0000 0.0000
Se 3.6566 4.1988 0.0000
Se 3.6566 -4.1988 0.0000
```

The value obtained for the formation energy without anion corrections is -15.32 eV/f.u.


[10]
Material: BeSiCl
Method: DFT, GGA-PBE
State: optimized geometry

The structure in extended XYZ format:
```
6
Lattice="5.6842 -1.7491 0.0000 5.6842 1.7491 0.0000 -1.4274 0.0000 6.9641" Properties=species:S:1:pos:R:3 pbc="T T T"
Be 0.0000 0.0000 0.0000
Be 6.5676 0.0000 5.4886
Si 4.4442 0.0000 4.7269
Si 8.7261 0.0000 4.9037
Cl 0.6954 0.0000 6.8498
Cl 5.3236 0.0000 1.1632
```

The value obtained for the formation energy without anion corrections is -0.82 eV/f.u. The energy above the most stable polymorph in this dataset comes out at 0.00 eV/f.u.


[11]
Material: Dy2Er2Al3
Method: DFT, GGA-PBE
State: optimized geometry

The structure in extended XYZ format:
```
7
Lattice="3.5706 0.0000 0.0000 1.7825 5.8916 0.0000 0.0026 0.9458 8.1584" Properties=species:S:1:pos:R:3 pbc="T T T"
Dy 0.8945 0.7472 1.3137
Dy 4.4611 6.0902 6.8447
Er 0.8950 2.8992 5.7415
Er 4.4607 3.9381 2.4169
Al 2.6762 5.3816 4.4172
Al 2.6765 2.9458 0.0000
Al 2.6794 1.4557 3.7412
```

The formation energy is -0.2825 eV per atom.


[12]
Material: Na2LaAs2
Method: DFT, GGA-PBE
State: optimized geometry

The structure in extended XYZ format:
```
5
Lattice="-2.1444 2.1444 6.7668 2.1444 -2.1444 6.7668 2.1444 2.1444 -6.7668" Properties=species:S:1:pos:R:3 pbc="T T T"
Na 2.1444 0.0000 3.3834
Na 0.0000 2.1444 3.3834
La 0.0000 0.0000 0.0000
As 0.0000 0.0000 5.4616
As 0.0000 0.0000 8.0720
```

The formation energy is -0.6771 eV per atom. The energy above the most stable polymorph in this dataset comes out at 0.00 eV/f.u.


[13]
Material: HoH6Pd8
Method: DFT, GGA-PBE
State: optimized geometry

The structure in extended XYZ format:
```
15
Lattice="2.5730 1.4855 7.1809 -2.5730 1.4855 7.1809 0.0000 -2.9711 7.1809" Properties=species:S:1:pos:R:3 pbc="T T T"
Ho 0.0000 0.0000 0.0000
H -0.8598 -1.4443 8.9241
H -1.6807 0.0225 12.6187
H -0.8209 1.4667 8.9241
H 0.8209 -1.4667 12.6187
H 1.6807 -0.0225 8.9241
H 0.8598 1.4443 12.6186
Pd -1.7274 -0.0081 9.5849
Pd -0.8567 -1.5000 11.9579
Pd 0.0000 0.0000 7.2085
Pd 0.8707 -1.4919 9.5849
Pd -0.8707 1.4919 11.9579
Pd 0.0000 0.0000 14.3342
Pd 0.8567 1.5000 9.5849
Pd 1.7274 0.0081 11.9579
```

The calculation puts the total energy at -70.47 eV per cell.


[14]
Material: LiFe2Mo
Method: DFT, GGA-PBE
State: optimized geometry

The structure in extended XYZ format:
```
4
Lattice="2.8282 0.0000 0.0000 0.0000 2.8282 0.0000 0.0000 0.0000 6.5994" Properties=species:S:1:pos:R:3 pbc="T T T"
Li 0.0000 0.0000 0.0000
Fe 0.0000 0.0000 3.5997
Fe 1.4141 1.4141 4.9635
Mo 1.4141 1.4141 1.9820
```

The formation energy is 0.3435 eV per atom. The energy above the most stable polymorph in this dataset comes out at 0.52 eV/f.u.


[15]
Material: Na3TiRh2Se6
Method: DFT, GGA-PBE
State: optimized geometry

The structure in extended XYZ format:
```
12
Lattice="3.2871 -5.6965 0.0000 3.2871 5.6965 0.0000 -2.1907 0.0000 6.8138" Properties=species:S:1:pos:R:3 pbc="T T T"
Na 0.0000 0.0000 0.0000
Na 3.2871 1.8969 0.0000
Na 3.2871 -1.8969 0.0000
Ti 2.1918 0.0000 3.4069
Rh 2.1918 3.7971 3.4069
Rh 2.1918 -3.7971 3.4069
Se 1.0702 1.9466 2.0580
Se -0.0550 0.0000 4.7610
Se 1.0702 -1.9466 2.0580
Se 3.3134 1.9466 4.7559
Se 4.4386 0.0000 2.0529
Se 3.3134 -1.9466 4.7559
```

The value obtained for the formation energy without anion corrections is -9.72 eV/f.u.


[16]
Material: LaTa2Co2
Method: DFT, GGA-PBE
State: optimized geometry

The structure in extended XYZ format:
```
5
Lattice="-2.2091 2.2091 5.0215 2.2091 -2.2091 5.0215 2.2091 2.2091 -5.0215" Properties=species:S:1:pos:R:3 pbc="T T T"
La 0.0000 0.0000 0.0000
Ta 0.0000 0.0000 3.5464
Ta 0.0000 0.0000 6.4967
Co 2.2091 0.0000 2.5108
Co 0.0000 2.2091 2.5108
```

The formation energy is 0.1728 eV per atom. The energy above the most stable polymorph in this dataset comes out at 1.35 eV/f.u.


[17]
Material: RbPmTiS4
Method: DFT, GGA-PBE
State: optimized geometry

The structure in extended XYZ format:
```
14
Lattice="6.7603 0.0000 0.0000 0.0000 6.7872 0.0000 -2.8244 0.0000 8.7390" Properties=species:S:1:pos:R:3 pbc="T T T"
Rb 0.2981 1.6968 3.8180
Rb 3.6378 5.0904 4.9210
Pm -0.7811 1.6968 8.3192
Pm 4.7170 5.0904 0.4199
Ti 1.3412 5.0904 1.4800
Ti 2.5947 1.6968 7.2590
S -0.4704 5.0904 2.8088
S -2.1824 5.0904 8.1074
S 2.8094 0.0251 1.7750
S 2.8094 3.3685 1.7750
S 1.1265 3.4187 6.9640
S 1.1265 6.7620 6.9640
S 6.1184 1.6968 0.6316
S 4.4064 1.6968 5.9302
```

The value obtained for the formation energy without anion corrections is -11.28 eV/f.u.


[18]
Material: Ba2CrCo
Method: DFT, GGA-PBE
State: optimized geometry

The structure in extended XYZ format:
```
4
Lattice="5.6269 0.0000 0.0000 0.0000 5.6269 0.0000 0.0000 0.0000 4.1208" Properties=species:S:1:pos:R:3 pbc="T T T"
Ba 0.0000 2.8135 0.0000
Ba 2.8135 0.0000 0.0000
Cr 0.0000 0.0000 2.0604
Co 2.8135 2.8135 2.0604
```

The formation energy is 0.8318 eV per atom. The energy above the most stable polymorph in this dataset comes out at 1.54 eV/f.u.


[19]
Material: MgTc4Os
Method: DFT, GGA-PBE
State: optimized geometry

The structure in extended XYZ format:
```
6
Lattice="0.0000 3.6067 3.6067 3.6067 0.0000 3.6067 3.6067 3.6067 0.0000" Properties=species:S:1:pos:R:3 pbc="T T T"
Mg 0.0000 0.0000 0.0000
Tc 2.6973 2.6973 2.6973
Tc 4.5160 4.5160 2.6973
Tc 4.5160 2.6973 4.5160
Tc 2.6973 4.5160 4.5160
Os 5.4100 5.4100 5.4100
```

The formation energy is 0.3348 eV per atom.


[20]
Material: Te2SeBr
Method: DFT, GGA-PBE
State: optimized geometry

The structure in extended XYZ format:
```
4
Lattice="2.1021 -4.3985 0.0000 2.1021 4.3985 0.0000 0.0000 0.0000 8.0225" Properties=species:S:1:pos:R:3 pbc="T T T"
Te 0.0000 0.0000 0.0000
Te 2.1021 0.0000 2.0550
Se 0.0000 0.0000 3.8305
Br 2.1021 0.0000 5.9088
```

The value obtained for the formation energy without anion corrections is 0.65 eV/f.u. The energy above the most stable polymorph in this dataset comes out at 0.89 eV/f.u.